# 1
Below is a geometry-optimized PmTmOsPt structure, with properties calculated at the PBE level.

The space group is F-43m (No. 216) and the conventional cell measures 6.9387, 6.9387 and 6.9387 Å, with angles of 90.00, 90.00 and 90.00 degrees. The inequivalent atoms are Pm at (0.0000, 0.0000, 0.0000), Tm at (0.0000, 0.0000, 0.5000), Os at (0.2500, 0.2500, 0.2500) and Pt at (0.2500, 0.2500, 0.7500).

***

# 2
Below is a geometry-optimized PmZrOsPt structure, with properties calculated at the PBE level.

The space group is F-43m (No. 216) and the conventional cell measures 6.8518, 6.8518 and 6.8518 Å, with angles of 90.00, 90.00 and 90.00 degrees. The inequivalent atoms are Pm at (0.0000, 0.0000, 0.0000), Zr at (0.0000, 0.0000, 0.5000), Os at (0.2500, 0.2500, 0.2500) and Pt at (0.2500, 0.2500, 0.7500).

***

| no. | VASP energy (eV/atom) | DFT formation energy (meV per atom) |
| --- | --- | --- |
| 1 | -7.207 | -584 |
| 2 | -8.133 | -490 |